Crystalline Pa2CrGaO8 at its relaxed geometry, computed with GGA+U.

POSCAR file:
```
Pa2CrGaO8
1.0
-2.509 3.810 -1.328
0.835 -1.163 -4.531
-5.792 -3.843 -0.081
O Pa Cr Ga
8 2 1 1
direct
0.185 0.815 0.252 O
0.299 0.299 0.500 O
0.186 0.815 0.748 O
0.707 0.707 0.000 O
0.293 0.293 0.000 O
0.814 0.185 0.252 O
0.815 0.185 0.748 O
0.701 0.701 0.500 O
0.500 0.500 0.250 Pa
0.500 0.500 0.750 Pa
0.000 0.000 0.500 Cr
0.000 0.000 0.000 Ga
```

Raw total energy = -102.47 eV per cell
Spin magnetization = 3.0 μB per cell
D(E_F) = 0.0 states/eV/cell